# 1
A geometry-optimized NbTcSnIr2 structure. Source: Alexandria via LeMat-Bulk, functional PBE-GGA.

Properties
- theoretical density (Mg/m³) = 10.4
- DOS(E_F) (states/eV per atom) = 1.178
- VASP energy (eV per cell) = -35.29
- crystal system = tetragonal
- total moment (μB/atom) = 0.293
- offset from the most stable computed form (meV/atom) = 190

Unit cell a=4.842 b=4.842 c=4.741 alpha=90.00 beta=90.00 gamma=90.00
Fractional positions:
Nb  0.000  0.000  0.000
Tc  0.000  0.000  0.500
Sn  0.500  0.500  0.500
Ir  0.000  0.500  0.000
Ir  0.500  0.000  0.000

***

# 2
A geometry-optimized SrTeMoI2 structure. Source: Alexandria via LeMat-Bulk, functional PBE-GGA.

Properties
- theoretical density (Mg/m³) = 3.8
- DOS(E_F) (states/eV per atom) = 0.885
- VASP energy (eV per cell) = -16.72
- crystal system = tetragonal
- total moment (μB/atom) = 0.797
- offset from the most stable computed form (meV/atom) = 688
- uncorrected formation energy (eV per atom) = 0.407

Unit cell a=6.200 b=6.200 c=6.462 alpha=90.00 beta=90.00 gamma=90.00
Fractional positions:
Sr  0.000  0.000  0.000
Te  0.000  0.000  0.500
Mo  0.500  0.500  0.500
I  0.000  0.500  0.000
I  0.500  0.000  0.000

***

# 3
A geometry-optimized YTaTc2 structure. Source: Alexandria via LeMat-Bulk, functional PBE-GGA.

Properties
- theoretical density (Mg/m³) = 10.5
- DOS(E_F) (states/eV per atom) = 1.241
- VASP energy (eV per cell) = -37.90
- crystal system = tetragonal
- total moment (μB/atom) = 0.000

Unit cell a=5.604 b=5.604 c=5.604 alpha=139.56 beta=139.56 gamma=58.53
Fractional positions:
Y  0.000  0.000  0.000
Ta  0.250  0.750  0.500
Tc  0.500  0.500  0.000
Tc  0.750  0.250  0.500

***

# 4
A geometry-optimized Pr3ErSi2 structure. Source: Alexandria via LeMat-Bulk, functional PBE-GGA.

Properties
- theoretical density (Mg/m³) = 6.4
- DOS(E_F) (states/eV per atom) = 1.068
- VASP energy (eV per cell) = -32.63
- crystal system = orthorhombic
- total moment (μB/atom) = 0.057
- uncorrected formation energy (eV per atom) = -0.481

Unit cell a=8.810 b=8.810 c=8.810 alpha=150.84 beta=149.84 gamma=42.45
Fractional positions:
Pr  0.000  0.000  0.000
Pr  0.181  0.681  0.500
Pr  0.819  0.319  0.500
Er  0.500  0.500  0.000
Si  0.369  0.869  0.500
Si  0.631  0.131  0.500

***

# 5
A geometry-optimized Tb3DyY8 structure. Source: Alexandria via LeMat-Bulk, functional PBE-GGA.

Properties
- theoretical density (Mg/m³) = 5.4
- DOS(E_F) (states/eV per atom) = 1.701
- VASP energy (eV per cell) = -65.96
- crystal system = monoclinic
- total moment (μB/atom) = 0.000

Unit cell a=8.226 b=8.226 c=10.841 alpha=126.53 beta=126.53 gamma=48.00
Fractional positions:
Tb  0.000  0.000  0.000
Tb  0.310  0.310  0.324
Tb  0.690  0.690  0.676
Dy  0.000  0.000  0.500
Y  0.250  0.250  0.933
Y  0.252  0.731  0.726
Y  0.255  0.255  0.609
Y  0.269  0.748  0.274
Y  0.731  0.252  0.726
Y  0.745  0.745  0.391
Y  0.748  0.269  0.274
Y  0.750  0.750  0.067

***

# 6
A geometry-optimized CoBRu3 structure. Source: Alexandria via LeMat-Bulk, functional PBE-GGA.

Properties
- theoretical density (Mg/m³) = 9.7
- DOS(E_F) (states/eV per atom) = 1.557
- VASP energy (eV per cell) = -39.75
- crystal system = cubic
- total moment (μB/atom) = 0.000
- offset from the most stable computed form (meV/atom) = 0

Unit cell a=4.002 b=4.002 c=4.002 alpha=90.00 beta=90.00 gamma=90.00
Fractional positions:
Co  0.000  0.000  0.000
B  0.500  0.500  0.500
Ru  0.000  0.500  0.500
Ru  0.500  0.000  0.500
Ru  0.500  0.500  0.000

***

# 7
A geometry-optimized SmEuDyEr structure. Source: Alexandria via LeMat-Bulk, functional PBE-GGA.

Properties
- theoretical density (Mg/m³) = 7.8
- DOS(E_F) (states/eV per atom) = 1.768
- VASP energy (eV per cell) = -23.52
- crystal system = cubic
- total moment (μB/atom) = 2.036

Unit cell a=5.756 b=5.756 c=5.756 alpha=60.00 beta=60.00 gamma=60.00
Fractional positions:
Sm  0.000  0.000  0.000
Eu  0.750  0.750  0.750
Dy  0.500  0.500  0.500
Er  0.250  0.250  0.250

***

# 8
A geometry-optimized CaVH structure. Source: Alexandria via LeMat-Bulk, functional PBE-GGA.

Properties
- theoretical density (Mg/m³) = 3.0
- DOS(E_F) (states/eV per atom) = 0.423
- VASP energy (eV per cell) = -28.17
- crystal system = orthorhombic
- total moment (μB/atom) = 0.000
- offset from the most stable computed form (meV/atom) = 219

Unit cell a=3.243 b=5.699 c=5.699 alpha=74.25 beta=90.00 gamma=90.00
Fractional positions:
Ca  0.000  0.000  0.000
Ca  0.000  0.394  0.394
V  0.500  0.566  0.839
V  0.500  0.839  0.566
H  0.000  0.591  0.994
H  0.000  0.994  0.591

***

# 9
A geometry-optimized MgAs2Cl structure. Source: Alexandria via LeMat-Bulk, functional PBE-GGA.

Properties
- theoretical density (Mg/m³) = 3.9
- DOS(E_F) (states/eV per atom) = 0.576
- VASP energy (eV per cell) = -13.46
- crystal system = tetragonal
- total moment (μB/atom) = 0.000
- offset from the most stable computed form (meV/atom) = 414
- uncorrected formation energy (eV per atom) = -0.181

Unit cell a=3.978 b=3.978 c=5.638 alpha=90.00 beta=90.00 gamma=90.00
Fractional positions:
Mg  0.000  0.000  0.000
As  0.500  0.500  0.206
As  0.500  0.500  0.794
Cl  0.000  0.000  0.500

***

# 10
A geometry-optimized NaLaMn structure. Source: Alexandria via LeMat-Bulk, functional PBE-GGA.

Properties
- theoretical density (Mg/m³) = 4.1
- DOS(E_F) (states/eV per atom) = 0.735
- VASP energy (eV per cell) = -30.27
- crystal system = monoclinic
- total moment (μB/atom) = 0.000
- offset from the most stable computed form (meV/atom) = 0

Unit cell a=3.830 b=3.830 c=14.131 alpha=97.69 beta=97.69 gamma=60.11
Fractional positions:
Na  0.206  0.206  0.109
Na  0.794  0.794  0.891
La  0.049  0.049  0.652
La  0.951  0.951  0.348
Mn  0.338  0.338  0.515
Mn  0.662  0.662  0.485

***

# 11
A geometry-optimized Fe2AsBr structure. Source: Alexandria via LeMat-Bulk, functional PBE-GGA.

Properties
- theoretical density (Mg/m³) = 6.3
- DOS(E_F) (states/eV per atom) = 1.007
- VASP energy (eV per cell) = -22.55
- crystal system = orthorhombic
- total moment (μB/atom) = 1.340
- offset from the most stable computed form (meV/atom) = 151
- uncorrected formation energy (eV per atom) = 0.175

Unit cell a=3.195 b=3.335 c=6.589 alpha=90.00 beta=90.00 gamma=90.00
Fractional positions:
Fe  0.000  0.000  0.179
Fe  0.000  0.000  0.821
As  0.500  0.500  0.000
Br  0.500  0.000  0.500

***

# 12
A geometry-optimized Sn3SeCl4 structure. Source: Alexandria via LeMat-Bulk, functional PBE-GGA.

Properties
- theoretical density (Mg/m³) = 3.5
- DOS(E_F) (states/eV per atom) = 0.000
- VASP energy (eV per cell) = -58.79
- crystal system = monoclinic
- total moment (μB/atom) = 0.000
- uncorrected formation energy (eV per atom) = -0.814

Unit cell a=8.676 b=8.676 c=11.171 alpha=116.70 beta=116.70 gamma=49.22
Fractional positions:
Sn  0.023  0.977  0.500
Sn  0.355  0.405  0.807
Sn  0.405  0.355  0.307
Sn  0.620  0.689  0.761
Sn  0.689  0.620  0.261
Sn  0.977  0.023  0.000
Se  0.051  0.603  0.403
Se  0.603  0.051  0.903
Cl  0.019  0.404  0.682
Cl  0.182  0.912  0.748
Cl  0.217  0.616  0.040
Cl  0.404  0.019  0.182
Cl  0.469  0.742  0.509
Cl  0.616  0.217  0.540
Cl  0.742  0.469  0.009
Cl  0.912  0.182  0.248

***

# 13
A geometry-optimized Ba11Cd9Rh4 structure. Source: Alexandria via LeMat-Bulk, functional PBE-GGA.

Properties
- theoretical density (Mg/m³) = 5.9
- DOS(E_F) (states/eV per atom) = 0.904
- VASP energy (eV per cell) = -64.87
- crystal system = orthorhombic
- total moment (μB/atom) = 0.000

Unit cell a=14.173 b=14.173 c=4.445 alpha=90.00 beta=90.00 gamma=112.62
Fractional positions:
Ba  0.000  0.000  0.000
Ba  0.080  0.416  0.000
Ba  0.174  0.826  0.000
Ba  0.314  0.314  0.000
Ba  0.379  0.621  0.000
Ba  0.416  0.080  0.000
Ba  0.584  0.920  0.000
Ba  0.621  0.379  0.000
Ba  0.686  0.686  0.000
Ba  0.826  0.174  0.000
Ba  0.920  0.584  0.000
Cd  0.092  0.229  0.500
Cd  0.178  0.622  0.500
Cd  0.229  0.092  0.500
Cd  0.378  0.822  0.500
Cd  0.500  0.500  0.500
Cd  0.622  0.178  0.500
Cd  0.771  0.908  0.500
Cd  0.822  0.378  0.500
Cd  0.908  0.771  0.500
Rh  0.239  0.446  0.500
Rh  0.446  0.239  0.500
Rh  0.554  0.761  0.500
Rh  0.761  0.554  0.500

***

# 14
A geometry-optimized RbZnP3 structure. Source: Alexandria via LeMat-Bulk, functional PBE-GGA.

Properties
- theoretical density (Mg/m³) = 3.5
- DOS(E_F) (states/eV per atom) = 0.625
- VASP energy (eV per cell) = -15.47
- crystal system = cubic
- total moment (μB/atom) = 0.000
- offset from the most stable computed form (meV/atom) = 0

Unit cell a=4.879 b=4.879 c=4.879 alpha=90.00 beta=90.00 gamma=90.00
Fractional positions:
Rb  0.000  0.000  0.000
Zn  0.500  0.500  0.500
P  0.000  0.500  0.500
P  0.500  0.000  0.500
P  0.500  0.500  0.000

***

# 15
A geometry-optimized Sm5Dy3Er3 structure. Source: Alexandria via LeMat-Bulk, functional PBE-GGA.

Properties
- theoretical density (Mg/m³) = 7.8
- DOS(E_F) (states/eV per atom) = 1.684
- VASP energy (eV per cell) = -47.23
- crystal system = hexagonal
- total moment (μB/atom) = 0.001
- offset from the most stable computed form (meV/atom) = 20

Unit cell a=11.141 b=11.141 c=3.455 alpha=90.00 beta=90.00 gamma=120.00
Fractional positions:
Sm  0.000  0.839  0.000
Sm  0.161  0.161  0.000
Sm  0.333  0.667  0.000
Sm  0.667  0.333  0.000
Sm  0.839  0.000  0.000
Dy  0.000  0.594  0.500
Dy  0.406  0.406  0.500
Dy  0.594  0.000  0.500
Er  0.000  0.342  0.000
Er  0.342  0.000  0.000
Er  0.658  0.658  0.000

***

# 16
A geometry-optimized La2SmHoHg2 structure. Source: Alexandria via LeMat-Bulk, functional PBE-GGA.

Properties
- theoretical density (Mg/m³) = 9.0
- DOS(E_F) (states/eV per atom) = 0.697
- VASP energy (eV per cell) = -43.57
- crystal system = orthorhombic
- total moment (μB/atom) = 0.000

Unit cell a=5.192 b=9.658 c=7.279 alpha=90.00 beta=90.00 gamma=90.00
Fractional positions:
La  0.000  0.057  0.000
La  0.000  0.943  0.500
La  0.500  0.171  0.313
La  0.500  0.829  0.813
Sm  0.500  0.444  0.972
Sm  0.500  0.556  0.472
Ho  0.000  0.328  0.654
Ho  0.000  0.672  0.154
Hg  0.000  0.365  0.230
Hg  0.000  0.635  0.730
Hg  0.500  0.162  0.749
Hg  0.500  0.838  0.249

***

# 17
A geometry-optimized Pr3Ni8Ag structure. Source: Alexandria via LeMat-Bulk, functional PBE-GGA.

Properties
- theoretical density (Mg/m³) = 8.8
- DOS(E_F) (states/eV per atom) = 0.912
- VASP energy (eV per cell) = -66.49
- crystal system = trigonal
- total moment (μB/atom) = 0.000

Unit cell a=8.911 b=8.911 c=8.911 alpha=33.27 beta=33.27 gamma=33.27
Fractional positions:
Pr  0.000  0.000  0.000
Pr  0.129  0.129  0.129
Pr  0.515  0.515  0.515
Ni  0.065  0.569  0.569
Ni  0.071  0.071  0.567
Ni  0.071  0.567  0.071
Ni  0.318  0.318  0.318
Ni  0.567  0.071  0.071
Ni  0.569  0.065  0.569
Ni  0.569  0.569  0.065
Ni  0.819  0.819  0.819
Ag  0.635  0.635  0.635

***

# 18
A geometry-optimized CoAsH structure. Source: Alexandria via LeMat-Bulk, functional PBE-GGA.

Properties
- theoretical density (Mg/m³) = 6.6
- DOS(E_F) (states/eV per atom) = 0.431
- VASP energy (eV per cell) = -239.38
- crystal system = monoclinic
- total moment (μB/atom) = 0.000
- offset from the most stable computed form (meV/atom) = 0

Unit cell a=9.216 b=9.216 c=8.250 alpha=110.92 beta=110.92 gamma=106.13
Fractional positions:
Co  0.000  0.000  0.000
Co  0.151  0.947  0.779
Co  0.158  0.646  0.112
Co  0.185  0.361  0.185
Co  0.190  0.190  0.404
Co  0.361  0.185  0.185
Co  0.427  0.964  0.519
Co  0.450  0.671  0.827
Co  0.503  0.503  0.264
Co  0.646  0.158  0.112
Co  0.671  0.450  0.827
Co  0.682  0.909  0.213
Co  0.758  0.758  0.615
Co  0.909  0.682  0.213
Co  0.947  0.151  0.779
Co  0.964  0.427  0.519
As  0.155  0.948  0.480
As  0.184  0.689  0.841
As  0.211  0.477  0.490
As  0.254  0.254  0.930
As  0.380  0.380  0.747
As  0.400  0.926  0.782
As  0.434  0.666  0.111
As  0.477  0.211  0.490
As  0.666  0.434  0.111
As  0.667  0.941  0.502
As  0.689  0.184  0.841
As  0.724  0.928  0.966
As  0.926  0.400  0.782
As  0.928  0.724  0.966
As  0.941  0.667  0.502
As  0.948  0.155  0.480
H  0.021  0.021  0.204
H  0.029  0.585  0.200
H  0.189  0.988  0.021
H  0.234  0.563  0.252
H  0.307  0.849  0.275
H  0.381  0.381  0.326
H  0.543  0.653  0.487
H  0.563  0.234  0.252
H  0.585  0.029  0.200
H  0.594  0.594  0.789
H  0.653  0.543  0.487
H  0.681  0.681  0.377
H  0.796  0.796  0.232
H  0.849  0.307  0.275
H  0.952  0.952  0.758
H  0.988  0.189  0.021

***

# 19
A geometry-optimized La3YRu structure. Source: Alexandria via LeMat-Bulk, functional PBE-GGA.

Properties
- theoretical density (Mg/m³) = 5.8
- DOS(E_F) (states/eV per atom) = 1.314
- VASP energy (eV per cell) = -30.84
- crystal system = cubic
- total moment (μB/atom) = 0.000
- offset from the most stable computed form (meV/atom) = 57

Unit cell a=5.581 b=5.581 c=5.581 alpha=90.00 beta=90.00 gamma=90.00
Fractional positions:
La  0.000  0.000  0.500
La  0.000  0.500  0.000
La  0.500  0.000  0.000
Y  0.500  0.500  0.500
Ru  0.000  0.000  0.000

***

# 20
A geometry-optimized Zr3NiB structure. Source: Alexandria via LeMat-Bulk, functional PBE-GGA.

Properties
- theoretical density (Mg/m³) = 6.0
- DOS(E_F) (states/eV per atom) = 1.326
- VASP energy (eV per cell) = -38.01
- crystal system = cubic
- total moment (μB/atom) = 0.000
- offset from the most stable computed form (meV/atom) = 0

Unit cell a=4.561 b=4.561 c=4.561 alpha=90.00 beta=90.00 gamma=90.00
Fractional positions:
Zr  0.000  0.000  0.500
Zr  0.000  0.500  0.000
Zr  0.500  0.000  0.000
Ni  0.500  0.500  0.500
B  0.000  0.000  0.000